No. 1
Material: ScCo4Ag
Method: DFT, meta-GGA SCAN
State: single point on PBEsol structure

POSCAR file:
```
ScCo4Ag
1.0
-0.656 -1.323 4.535
2.213 -3.869 1.700
3.542 0.474 3.159
Sc Co Ag
1 4 1
Direct
0.250 0.250 0.250
0.625 0.625 0.124
0.124 0.625 0.625
0.625 0.124 0.625
0.625 0.625 0.625
0.000 0.000 0.000
```

The value obtained for the calculated total energy is -1.412 Ry per atom. The calculated formation energy comes out at -68 meV per atom. The total magnetization is 5.90 μB per formula unit. As for the symmetry: F-43m.

---

No. 2
Material: LiMgMn
Method: DFT, meta-GGA SCAN
State: single point on PBEsol structure

POSCAR file:
```
LiMgMn
1.0
4.358 0.000 0.000
2.179 3.774 0.000
2.179 1.258 3.558
Mg Mn Li
1 1 1
Direct
0.000 0.000 0.000
0.500 0.500 0.500
0.250 0.250 0.250
```

The value obtained for the calculated total energy is -0.594 Ry per atom. The calculated formation energy comes out at 460 meV per atom. The total magnetization is 4.33 μB per formula unit. As for the symmetry: F-43m.

---

No. 3
Material: OsRu2Pb
Method: DFT, meta-GGA SCAN
State: single point on PBEsol structure

POSCAR file:
```
OsRu2Pb
1.0
3.827 0.000 0.000
0.000 4.032 0.000
0.000 0.000 4.032
Os Pb Ru
1 1 2
Direct
0.500 0.500 0.500
0.500 0.000 0.000
0.000 0.000 0.500
0.000 0.500 0.000
```

The value obtained for the calculated total energy is -3.925 Ry per atom. The calculated formation energy comes out at 922 meV per atom. The total magnetization is 0.00 μB per formula unit. As for the symmetry: P4/mmm.

---

No. 4
Material: Ba2Pt
Method: DFT, meta-GGA SCAN
State: single point on PBEsol structure

POSCAR file:
```
Ba2Pt
1.0
6.534 -0.026 0.000
-2.254 6.133 0.000
-2.140 -3.054 5.366
Ba Pt
4 2
Direct
0.700 0.200 0.899
0.200 0.300 0.500
0.800 0.700 0.500
0.300 0.800 0.101
0.250 0.250 0.000
0.750 0.750 0.000
```

The value obtained for the calculated total energy is -3.701 Ry per atom. The calculated formation energy comes out at -588 meV per atom. The total magnetization is 0.18 μB per formula unit. As for the symmetry: I4/mcm.